Entry 1:
This record from the Alexandria database describes a relaxed structure of Fe3SbP6O24. The functional is PBE with a Hubbard U.

## Properties
Density ... 2.9 Mg/m³
Total moment ... 19.232 μB/f.u.
E ... -694.90 eV per cell
Crystal system ... trigonal
Volume ... 14.28 A^3/atom

Unit cell a=8.6841 b=8.6841 c=22.2998 alpha=90.00 beta=90.00 gamma=120.00
With the nearest neighbours (Å) after each atom.
Space group R3 (No. 146, hexagonal axes)
Inequivalent atoms, fractional coordinates:
Fe 0.0000 0.0000 0.0000 [3 per cell]  6 O 2.00
Fe 0.0000 0.0000 0.2136 [3 per cell]  6 O 1.99-2.00
Fe 0.0000 0.0000 0.5012 [3 per cell]  6 O 1.99-2.01
Sb 0.0000 0.0000 0.7152 [3 per cell]  6 O 1.98
P 0.0486 0.3789 0.2751 [9 per cell]  4 O 1.53-1.57
P 0.0489 0.6708 0.7744 [9 per cell]  4 O 1.53-1.57
O 0.0009 0.1894 0.9486 [9 per cell]  1 P 1.53
O 0.0022 0.8228 0.7706 [9 per cell]  1 P 1.57
O 0.0046 0.8118 0.0505 [9 per cell]  1 P 1.53
O 0.0402 0.2024 0.5549 [9 per cell]  1 P 1.53
O 0.0620 0.2112 0.2649 [9 per cell]  1 P 1.53
O 0.1525 0.4634 0.3348 [9 per cell]  1 P 1.57
O 0.1728 0.7175 0.1187 [9 per cell]  1 P 1.53
O 0.1735 0.7156 0.8288 [9 per cell]  1 P 1.54

Entry 2:
This record from the Alexandria database describes a relaxed structure of V3Fe2SbP6O24. The functional is PBE with a Hubbard U.

## Properties
Density ... 3.5 Mg/m³
Total moment ... 14.000 μB/f.u.
E ... -785.59 eV per cell
Crystal system ... trigonal
Volume ... 12.75 A^3/atom

Unit cell a=8.7017 b=8.7017 c=21.0021 alpha=90.00 beta=90.00 gamma=120.00
With the nearest neighbours (Å) after each atom.
Space group R3 (No. 146, hexagonal axes)
Inequivalent atoms, fractional coordinates:
V 0.0000 0.0000 0.0000 [3 per cell]  6 O 1.97-2.08
V 0.0000 0.0000 0.2151 [3 per cell]  6 O 2.00-2.08
V 0.0000 0.0000 0.4983 [3 per cell]  6 O 1.97-2.06
Fe 0.0000 0.0000 0.3571 [3 per cell]  6 O 2.20-2.22
Fe 0.0000 0.0000 0.8622 [3 per cell]  6 O 2.16-2.28
Sb 0.0000 0.0000 0.7144 [3 per cell]  6 O 1.96-2.03
P 0.0024 0.7094 0.1066 [9 per cell]  4 O 1.51-1.62
P 0.0403 0.3712 0.2727 [9 per cell]  4 O 1.51-1.58
O 0.0035 0.1992 0.6695 [9 per cell]  1 P 1.58
O 0.0187 0.8384 0.7800 [9 per cell]  1 P 1.62
O 0.0197 0.1856 0.2821 [9 per cell]  1 P 1.55
O 0.1349 0.6686 0.8343 [9 per cell]  1 P 1.51
O 0.1387 0.6721 0.7127 [9 per cell]  1 P 1.52
O 0.1456 0.4696 0.2146 [9 per cell]  1 P 1.51
O 0.1618 0.6769 0.1001 [9 per cell]  1 P 1.55
O 0.1662 0.4794 0.6007 [9 per cell]  1 P 1.55

Entry 3:
This record from the Alexandria database describes a relaxed structure of VFe3Sb2P6O24. The functional is PBE with a Hubbard U.

## Properties
Density ... 3.6 Mg/m³
Total moment ... 17.000 μB/f.u.
E ... -761.44 eV per cell
Crystal system ... trigonal
Volume ... 13.34 A^3/atom

Unit cell a=8.6907 b=8.6907 c=22.0203 alpha=90.00 beta=90.00 gamma=120.00
With the nearest neighbours (Å) after each atom.
Space group R3 (No. 146, hexagonal axes)
Inequivalent atoms, fractional coordinates:
V 0.0000 0.0000 0.0000 [3 per cell]  6 O 2.01-2.08
Fe 0.0000 0.0000 0.2973 [3 per cell]  3 O 1.91
Fe 0.0000 0.0000 0.4982 [3 per cell]  6 O 1.97-2.08
Fe 0.0000 0.0000 0.7973 [3 per cell]  3 O 1.92
Sb 0.0000 0.0000 0.1550 [3 per cell]  3 O 2.17
Sb 0.0000 0.0000 0.6540 [3 per cell]  3 O 2.19
P 0.0004 0.2917 0.8946 [9 per cell]  4 O 1.52-1.60
P 0.0023 0.7106 0.3946 [9 per cell]  4 O 1.52-1.60
O 0.0004 0.8047 0.4526 [9 per cell]  1 P 1.52
O 0.0143 0.2041 0.8361 [9 per cell]  1 P 1.53
O 0.0149 0.1853 0.5615 [9 per cell]  1 P 1.55
O 0.0152 0.8109 0.3360 [9 per cell]  1 P 1.53
O 0.0156 0.8281 0.0619 [9 per cell]  1 P 1.55
O 0.1367 0.4679 0.6196 [9 per cell]  1 P 1.52
O 0.1737 0.4848 0.8934 [9 per cell]  1 P 1.60
O 0.1749 0.6902 0.3933 [9 per cell]  1 P 1.60

Entry 4:
This record from the Alexandria database describes a relaxed structure of ScFeP2O. The functional is PBE with a Hubbard U.

## Properties
Polymorph energy (0 for the lowest one) ... 372 meV/atom
Density ... 3.0 Mg/m³
Total moment ... 3.388 μB/f.u.
E ... -27.35 eV per cell
Crystal system ... tetragonal
Volume ... 19.85 A^3/atom

Unit cell a=5.0992 b=5.0992 c=3.8175 alpha=90.00 beta=90.00 gamma=90.00
With the nearest neighbours (Å) after each atom.
Space group P4/mmm (No. 123)
Inequivalent atoms, fractional coordinates:
Sc 0.0000 0.0000 0.0000 [1 per cell]  2 O 1.91
Fe 0.5000 0.5000 0.5000 [1 per cell]  8 P 3.18
P 0.0000 0.5000 0.0000 [2 per cell]  2 Sc 2.55
O 0.0000 0.0000 0.5000 [1 per cell]  2 Sc 1.91

Entry 5:
This record from the Alexandria database describes a relaxed structure of ScFeP2O. The functional is PBE with a Hubbard U.

## Properties
Polymorph energy (0 for the lowest one) ... 0 meV/atom
Density ... 3.7 Mg/m³
Total moment ... 2.919 μB/f.u.
E ... -29.21 eV per cell
Crystal system ... tetragonal
Volume ... 16.21 A^3/atom

Unit cell a=4.7359 b=4.7359 c=3.6138 alpha=90.00 beta=90.00 gamma=90.00
With the nearest neighbours (Å) after each atom.
Space group P4/mmm (No. 123)
Inequivalent atoms, fractional coordinates:
Sc 0.0000 0.0000 0.0000 [1 per cell]  8 P 2.98
Fe 0.5000 0.5000 0.5000 [1 per cell]  2 O 1.81
P 0.0000 0.5000 0.5000 [2 per cell]  2 Fe 2.37
O 0.5000 0.5000 0.0000 [1 per cell]  2 Fe 1.81

Entry 6:
This record from the Alexandria database describes a relaxed structure of Sr2ScFePO3. The functional is PBE with a Hubbard U.

## Properties
Density ... 4.4 Mg/m³
Total moment ... 3.859 μB/f.u.
E ... -107.63 eV per cell
Crystal system ... tetragonal
Volume ... 16.88 A^3/atom

Unit cell a=4.1170 b=4.1170 c=15.9349 alpha=90.00 beta=90.00 gamma=90.00
With the nearest neighbours (Å) after each atom.
Space group P4/nmm (No. 129, origin choice 2)
Inequivalent atoms, fractional coordinates:
Sr 0.2500 0.2500 0.0851 [2 per cell]  1 O 2.41
Sr 0.2500 0.2500 0.3086 [2 per cell]  4 O 2.58
Sc 0.2500 0.2500 0.8088 [2 per cell]  5 O 1.99-2.08
Fe 0.2500 0.7500 0.5000 [2 per cell]  4 P 2.52
P 0.2500 0.2500 0.5912 [2 per cell]  4 Fe 2.52
O 0.2500 0.2500 0.9337 [2 per cell]  1 Sc 1.99
O 0.2500 0.7500 0.2110 [4 per cell]  2 Sc 2.08

Entry 7:
This record from the Alexandria database describes a relaxed structure of FeSiPO2. The functional is PBE with a Hubbard U.

## Properties
Polymorph energy (0 for the lowest one) ... 0 meV/atom
Density ... 3.9 Mg/m³
Total moment ... 4.119 μB/f.u.
E ... -30.41 eV per cell
Crystal system ... tetragonal
Volume ... 12.38 A^3/atom

Unit cell a=3.4615 b=3.4615 c=5.1666 alpha=90.00 beta=90.00 gamma=90.00
With the nearest neighbours (Å) after each atom.
Space group P4/mmm (No. 123)
Inequivalent atoms, fractional coordinates:
Fe 0.0000 0.0000 0.0000 [1 per cell]  4 P 2.45
Si 0.5000 0.5000 0.5000 [1 per cell]  4 O 1.73
P 0.5000 0.5000 0.0000 [1 per cell]  4 Fe 2.45, 2 Si 2.58
O 0.0000 0.5000 0.5000 [2 per cell]  2 Si 1.73

Entry 8:
This record from the Alexandria database describes a relaxed structure of FeSiP2O. The functional is PBE with a Hubbard U.

## Properties
Polymorph energy (0 for the lowest one) ... 493 meV/atom
Density ... 3.5 Mg/m³
Total moment ... 2.442 μB/f.u.
E ... -24.51 eV per cell
Crystal system ... tetragonal
Volume ... 15.45 A^3/atom

Unit cell a=4.6856 b=4.6856 c=3.5195 alpha=90.00 beta=90.00 gamma=90.00
With the nearest neighbours (Å) after each atom.
Space group P4/mmm (No. 123)
Inequivalent atoms, fractional coordinates:
Fe 0.0000 0.0000 0.0000 [1 per cell]  2 O 1.76
Si 0.5000 0.5000 0.5000 [1 per cell]  8 P 2.93
P 0.0000 0.5000 0.0000 [2 per cell]  2 Fe 2.34
O 0.0000 0.0000 0.5000 [1 per cell]  2 Fe 1.76

Entry 9:
This record from the Alexandria database describes a relaxed structure of FeSiP2O. The functional is PBE with a Hubbard U.

## Properties
Polymorph energy (0 for the lowest one) ... 0 meV/atom
Density ... 3.5 Mg/m³
Total moment ... 3.517 μB/f.u.
E ... -26.98 eV per cell
Crystal system ... tetragonal
Volume ... 15.28 A^3/atom

Unit cell a=4.8521 b=4.8521 c=3.2459 alpha=90.00 beta=90.00 gamma=90.00
With the nearest neighbours (Å) after each atom.
Space group P4/mmm (No. 123)
Inequivalent atoms, fractional coordinates:
Fe 0.0000 0.0000 0.0000 [1 per cell]  8 P 2.92, 2 Fe 3.25
Si 0.5000 0.5000 0.5000 [1 per cell]  2 O 1.62
P 0.0000 0.5000 0.5000 [2 per cell]  2 Si 2.43
O 0.5000 0.5000 0.0000 [1 per cell]  2 Si 1.62

Entry 10:
This record from the Alexandria database describes a relaxed structure of FeSiPO2. The functional is PBE with a Hubbard U.

## Properties
Polymorph energy (0 for the lowest one) ... 689 meV/atom
Density ... 3.6 Mg/m³
Total moment ... 3.947 μB/f.u.
E ... -26.97 eV per cell
Crystal system ... tetragonal
Volume ... 13.63 A^3/atom

Unit cell a=3.6745 b=3.6745 c=5.0464 alpha=90.00 beta=90.00 gamma=90.00
With the nearest neighbours (Å) after each atom.
Space group P4/mmm (No. 123)
Inequivalent atoms, fractional coordinates:
Fe 0.0000 0.0000 0.0000 [1 per cell]  4 O 1.84
Si 0.5000 0.5000 0.5000 [1 per cell]  4 P 2.60
P 0.0000 0.0000 0.5000 [1 per cell]  2 Fe 2.52, 4 Si 2.60
O 0.0000 0.5000 0.0000 [2 per cell]  2 Fe 1.84

Entry 11:
This record from the Alexandria database describes a relaxed structure of Sm2FeP2O. The functional is PBE with a Hubbard U.

## Properties
Density ... 4.6 Mg/m³
Total moment ... 3.960 μB/f.u.
E ... -30.86 eV per cell
Crystal system ... tetragonal
Volume ... 26.00 A^3/atom

Unit cell a=3.2628 b=3.2628 c=14.6551 alpha=90.00 beta=90.00 gamma=90.00
With the nearest neighbours (Å) after each atom.
Space group P4/mmm (No. 123)
Inequivalent atoms, fractional coordinates:
Sm 0.0000 0.0000 0.1420 [2 per cell]  1 O 2.08
Fe 0.0000 0.0000 0.5000 [1 per cell]  2 P 2.35
P 0.0000 0.0000 0.3395 [2 per cell]  1 Fe 2.35
O 0.0000 0.0000 0.0000 [1 per cell]  2 Sm 2.08

Entry 12:
This record from the Alexandria database describes a relaxed structure of SmFeP2O8. The functional is PBE with a Hubbard U.

## Properties
Density ... 4.3 Mg/m³
Total moment ... 5.014 μB/f.u.
E ... -89.75 eV per cell
Crystal system ... trigonal
Volume ... 12.67 A^3/atom

Unit cell a=5.1327 b=5.1327 c=6.6660 alpha=90.00 beta=90.00 gamma=120.00
With the nearest neighbours (Å) after each atom.
Space group P-3m1 (No. 164)
Inequivalent atoms, fractional coordinates:
Sm 0.0000 0.0000 0.0000 [1 per cell]  6 O 2.50
Fe 0.0000 0.0000 0.5000 [1 per cell]  6 O 2.00
P 0.3333 0.6667 0.2265 [2 per cell]  4 O 1.53-1.55
O 0.1682 0.3365 0.3003 [6 per cell]  1 P 1.55
O 0.3333 0.6667 0.9965 [2 per cell]  1 P 1.53

Entry 13:
This record from the Alexandria database describes a relaxed structure of FeSnPO2. The functional is PBE with a Hubbard U.

## Properties
Polymorph energy (0 for the lowest one) ... 227 meV/atom
Density ... 4.6 Mg/m³
Total moment ... 4.175 μB/f.u.
E ... -25.75 eV per cell
Crystal system ... tetragonal
Volume ... 17.02 A^3/atom

Unit cell a=3.9489 b=3.9489 c=5.4572 alpha=90.00 beta=90.00 gamma=90.00
With the nearest neighbours (Å) after each atom.
Space group P4/mmm (No. 123)
Inequivalent atoms, fractional coordinates:
Fe 0.0000 0.0000 0.0000 [1 per cell]  4 P 2.79
Sn 0.5000 0.5000 0.5000 [1 per cell]  4 O 1.97
P 0.5000 0.5000 0.0000 [1 per cell]  2 Sn 2.73, 4 Fe 2.79
O 0.0000 0.5000 0.5000 [2 per cell]  2 Sn 1.97

Entry 14:
This record from the Alexandria database describes a relaxed structure of Fe2SnP3O12. The functional is PBE with a Hubbard U.

## Properties
Density ... 3.6 Mg/m³
Total moment ... 8.977 μB/f.u.
E ... -751.39 eV per cell
Crystal system ... trigonal
Volume ... 13.11 A^3/atom

Unit cell a=8.6824 b=8.6824 c=21.6800 alpha=90.00 beta=90.00 gamma=120.00
With the nearest neighbours (Å) after each atom.
Space group R-3c (No. 167, hexagonal axes)
Inequivalent atoms, fractional coordinates:
Fe 0.0000 0.0000 0.1482 [12 per cell]  6 O 1.94-2.11
Sn 0.0000 0.0000 0.0000 [6 per cell]  6 O 2.31
P 0.0000 0.2915 0.2500 [18 per cell]  4 O 1.52-1.57
O 0.0018 0.1976 0.1908 [36 per cell]  1 P 1.52
O 0.0185 0.1835 0.9196 [36 per cell]  1 P 1.57

Entry 15:
This record from the Alexandria database describes a relaxed structure of FeSnPO2. The functional is PBE with a Hubbard U.

## Properties
Polymorph energy (0 for the lowest one) ... 0 meV/atom
Density ... 5.3 Mg/m³
Total moment ... 4.187 μB/f.u.
E ... -26.88 eV per cell
Crystal system ... tetragonal
Volume ... 14.75 A^3/atom

Unit cell a=3.8431 b=3.8431 c=4.9934 alpha=90.00 beta=90.00 gamma=90.00
With the nearest neighbours (Å) after each atom.
Space group P4/mmm (No. 123)
Inequivalent atoms, fractional coordinates:
Fe 0.0000 0.0000 0.0000 [1 per cell]  4 O 1.92
Sn 0.5000 0.5000 0.5000 [1 per cell]  4 P 2.72
P 0.0000 0.0000 0.5000 [1 per cell]  2 Fe 2.50, 4 Sn 2.72
O 0.0000 0.5000 0.0000 [2 per cell]  2 Fe 1.92

Entry 16:
This record from the Alexandria database describes a relaxed structure of Fe5SnP6O24. The functional is PBE with a Hubbard U.

## Properties
Density ... 3.6 Mg/m³
Total moment ... 24.029 μB/f.u.
E ... -760.73 eV per cell
Crystal system ... trigonal
Volume ... 12.54 A^3/atom

Unit cell a=8.6863 b=8.6863 c=20.7190 alpha=90.00 beta=90.00 gamma=120.00
With the nearest neighbours (Å) after each atom.
Space group R3 (No. 146, hexagonal axes)
Inequivalent atoms, fractional coordinates:
Fe 0.0000 0.0000 0.0000 [3 per cell]  6 O 2.14-2.24
Fe 0.0000 0.0000 0.1395 [3 per cell]  6 O 1.94-2.09
Fe 0.0000 0.0000 0.3489 [3 per cell]  6 O 1.94-2.13
Fe 0.0000 0.0000 0.4952 [3 per cell]  6 O 2.10-2.11
Fe 0.0000 0.0000 0.6420 [3 per cell]  6 O 1.94-2.13
Sn 0.0000 0.0000 0.8536 [3 per cell]  6 O 2.00-2.10
P 0.0055 0.7091 0.2443 [9 per cell]  4 O 1.52-1.58
P 0.0367 0.3665 0.4132 [9 per cell]  4 O 1.52-1.58
O 0.0024 0.2067 0.8097 [9 per cell]  1 P 1.54
O 0.0114 0.8275 0.9218 [9 per cell]  1 P 1.58
O 0.0152 0.1768 0.4228 [9 per cell]  1 P 1.58
O 0.0155 0.8110 0.3054 [9 per cell]  1 P 1.52
O 0.1394 0.6744 0.8500 [9 per cell]  1 P 1.52
O 0.1458 0.4656 0.3542 [9 per cell]  1 P 1.52
O 0.1611 0.4843 0.7381 [9 per cell]  1 P 1.55
O 0.1716 0.6836 0.2346 [9 per cell]  1 P 1.58

Entry 17:
This record from the Alexandria database describes a relaxed structure of FeSnPO2. The functional is PBE with a Hubbard U.

## Properties
Polymorph energy (0 for the lowest one) ... 377 meV/atom
Density ... 5.1 Mg/m³
Total moment ... 3.783 μB/f.u.
E ... -24.99 eV per cell
Crystal system ... tetragonal
Volume ... 15.45 A^3/atom

Unit cell a=3.7502 b=3.7502 c=5.4938 alpha=90.00 beta=90.00 gamma=90.00
With the nearest neighbours (Å) after each atom.
Space group P4/mmm (No. 123)
Inequivalent atoms, fractional coordinates:
Fe 0.0000 0.0000 0.0000 [1 per cell]  4 Sn 2.65
Sn 0.5000 0.5000 0.0000 [1 per cell]  4 Fe 2.65, 2 P 2.75
P 0.5000 0.5000 0.5000 [1 per cell]  4 O 1.88
O 0.0000 0.5000 0.5000 [2 per cell]  2 P 1.88